A plane-wave DFT calculation with PBE with a Hubbard U was carried out for SrTiCr2O6 after structural relaxation.

Cell lengths 5.326, 5.326, 5.607 Å; angles 61.65, 61.64, 60.00 degrees
Each line ends with the local moment (μB).
Fractional coordinates of all 10 atoms:
1 Sr 0.779 0.779 0.663  0.00
2 Ti 0.316 0.316 0.053  0.07
3 Cr 0.519 0.519 0.443  2.96
4 Cr 0.011 0.011 0.967  2.94
5 O 0.609 0.263 0.213  -0.03
6 O 0.262 0.916 0.213  -0.03
7 O 0.916 0.609 0.213  -0.03
8 O 0.327 0.723 0.750  -0.02
9 O 0.723 0.201 0.750  -0.02
10 O 0.201 0.327 0.750  -0.02

**Density of states at the Fermi level**: 0.0 states/eV per cell
**Crystal system**: trigonal
**Space group**: No. 146
**E**: -78.68 eV/cell